Here is KCdInHg6 after structural relaxation from Alexandria. Energies are from PBE-GGA.

abc: 5.6450 5.6450 11.2482
angles: 90.03 90.03 120.10
With the nearest neighbours (Å) after each atom.
Fractional positions:
1 K 0.0000 0.0000 0.0000  6 Hg 3.52
2 Cd 0.3338 0.6662 0.5000  6 Hg 3.23-3.24, 3 In 3.25-3.26
3 In 0.6664 0.3336 0.5000  3 Cd 3.25-3.26, 6 Hg 3.26
4 Hg 0.0050 0.3323 0.2652  6 Hg 3.22-3.32, 1 Cd 3.23, 1 In 3.26, 1 K 3.52
5 Hg 0.0063 0.6730 0.7348  6 Hg 3.23-3.31, 1 Cd 3.24, 1 In 3.26, 1 K 3.52
6 Hg 0.3270 0.9937 0.2652  6 Hg 3.23-3.31, 1 Cd 3.24, 1 In 3.26, 1 K 3.52
7 Hg 0.3279 0.3333 0.7351  6 Hg 3.22-3.32, 1 Cd 3.24, 1 In 3.26, 1 K 3.52
8 Hg 0.6667 0.6721 0.2649  6 Hg 3.22-3.32, 1 Cd 3.24, 1 In 3.26, 1 K 3.52
9 Hg 0.6677 0.9950 0.7348  6 Hg 3.22-3.32, 1 Cd 3.23, 1 In 3.26, 1 K 3.52

Computed properties:
- D(E_F): 3.575 states/eV/cell
- Total energy: -6.845 eV per cell
- M_tot: 0.0 μB/f.u.
- SG: C2
- Energy of formation from the pure elements: -0.031 eV/atom